Entry 1:
{"formula": "MnAl2Cl", "functional": "GGA-PBEsol", "state": "optimized geometry", "lattice": [[-2.097, 2.097, 3.966], [2.097, -2.097, 3.966], [2.097, 2.097, -3.966]], "species": ["Mn", "Al", "Al", "Cl"], "frac_coords": [[0.000, 0.000, 0.000], [0.500, 0.500, 0.000], [0.750, 0.250, 0.500], [0.250, 0.750, 0.500]]}

Entry 2:
{"formula": "MnAlS2Cl", "functional": "GGA-PBEsol", "state": "optimized geometry", "lattice": [[4.550, 0.000, 0.000], [0.000, 4.550, 0.000], [0.000, 0.000, 4.577]], "species": ["Mn", "Al", "S", "S", "Cl"], "frac_coords": [[0.000, 0.000, 0.000], [0.500, 0.500, 0.500], [0.000, 0.500, 0.000], [0.500, 0.000, 0.000], [0.000, 0.000, 0.500]]}

Entry 3:
{"formula": "AlMoCl", "functional": "GGA-PBEsol", "state": "optimized geometry", "lattice": [[-1.477, 1.477, 5.739], [1.477, -1.477, 5.739], [1.477, 1.477, -5.739]], "species": ["Al", "Mo", "Cl"], "frac_coords": [[0.000, 0.000, 0.000], [0.355, 0.355, 0.000], [0.724, 0.724, 0.000]]}

no.,formation energy from raw total energies (eV/atom),calculated total energy (eV per atom)
1,0.39,-4.595
2,-0.13,-5.053
3,0.15,-5.807